w.
TbCeCdOs, relaxed, DFT PBE; SG = F-43m, No. 216
1.0
-2.374 -0.322 -4.473
-2.953 -3.997 -1.023
-5.036 0.564 -0.245
Ce Os Tb Cd
1 1 1 1
Direct
0.000 0.000 0.000
0.250 0.250 0.250
0.500 0.500 0.500
0.750 0.750 0.750


x.
TbCeCdOs, relaxed, DFT PBE; SG = P4mm, No. 99
1.0
-3.017 1.053 -1.006
-1.394 -2.759 1.291
-1.069 3.999 7.394
Os Tb Cd Ce
1 1 1 1
Direct
0.000 0.000 0.572
0.500 0.500 0.780
0.000 0.000 0.066
0.500 0.500 0.367


Decreasing stability: x, w